! DyCoF, relaxed, DFT GGA+U; values from VASP
! * DFT total energy: -0.19246 Ha/atom
! * calculated density: 8.998 g/cm3
&SYSTEM
  ibrav = 0, nat = 6, ntyp = 3
/
ATOMIC_SPECIES
Co 58.93 Co.upf
Dy 162.50 Dy.upf
F 19.00 F.upf
ATOMIC_POSITIONS crystal
Co 0.000 0.500 0.552
Co 0.500 0.000 0.448
Dy 0.000 0.500 0.221
Dy 0.500 0.000 0.779
F 0.500 0.000 0.083
F 0.000 0.500 0.917
CELL_PARAMETERS angstrom
3.294 0.000 0.000
0.000 3.294 0.000
0.000 0.000 8.179